## SrS2NF (GGA-PBE)

Data for a relaxed structure of SrS2NF.

Calculated values
Electronic total energy (eV/cell): -14.67
Formation energy (no corrections) (eV per atom): 1.093
Magnetization (Bohr magnetons per cell): 3.50
Theoretical density (g cm⁻³): 1.86

abc: 5.9259 5.9259 4.6896
angles: 90.00 90.00 90.00
Space group P4/mmm (No. 123)
One atom of each set of equivalent atoms:
Sr (0.0000, 0.0000, 0.0000) [1 per cell]
S (0.0000, 0.5000, 0.0000) [2 per cell]
N (0.0000, 0.0000, 0.5000) [1 per cell]
F (0.5000, 0.5000, 0.5000) [1 per cell]